(1)
Entry from Alexandria: a relaxed structure of YMg2TePt (GGA-PBEsol).

Summary:
Crystal system = tetragonal
Volume = 33.464 A^3/atom
ΔE_f (raw) = 0.7873 eV per atom
Raw total energy = -16.8 eV per cell
DOS(E_F) = 0.888 states/eV per atom

a b c (Å): 4.9196 5.8319 5.8319
angles (deg): 90.00 90.00 90.00
Closest atoms and distances in Å follow each position.
Sites, in units of the cell vectors:
Mg: 0.0000 0.5000 0.0000  2 Y 2.92
Mg: 0.0000 0.0000 0.5000  2 Y 2.92
Te: 0.5000 0.5000 0.5000  8 Mg 3.81, 4 Pt 4.12
Pt: 0.5000 0.0000 0.0000  2 Y 2.46
Y: 0.0000 0.0000 0.0000  2 Pt 2.46

---

(2)
Entry from Alexandria: a relaxed structure of BaCaSe2 (GGA-PBEsol).

Summary:
Polymorph energy (0 for the lowest one) = 0.21 eV per formula unit
Crystal system = trigonal
Volume = 30.114 A^3/atom
ΔE_f (raw) = -1.9467 eV per atom
Raw total energy = -19.8 eV per cell
DOS(E_F) = 0.000 states/eV per atom

a b c (Å): 4.3076 4.3076 7.8979
angles (deg): 74.17 74.17 60.00
Closest atoms and distances in Å follow each position.
Sites, in units of the cell vectors:
Ca: 0.3320 0.3320 0.0040  6 Se 2.98-3.01
Se: 0.9259 0.9259 0.2224  3 Ca 2.98, 3 Ba 3.22
Se: 0.7406 0.7406 0.7782  3 Ca 3.01, 3 Ba 3.27
Ba: 0.5015 0.5015 0.4954  6 Se 3.22-3.27

---

(3)
Entry from Alexandria: a relaxed structure of YCr2Fe (GGA-PBEsol).

Summary:
Polymorph energy (0 for the lowest one) = 1.16 eV per formula unit
Crystal system = trigonal
Volume = 14.413 A^3/atom
Energy of formation from the pure elements = 844 meV per atom
Raw total energy = -32.9 eV per cell
DOS(E_F) = 1.432 states/eV per atom

a b c (Å): 2.7773 2.7773 8.7782
angles (deg): 80.90 80.90 60.00
Closest atoms and distances in Å follow each position.
Sites, in units of the cell vectors:
Cr: 0.7648 0.7648 0.7057  3 Fe 2.39
Cr: 0.2352 0.2352 0.2943  3 Fe 2.39
Y: 0.0000 0.0000 0.0000  6 Y 2.78, 6 Cr 3.00
Fe: 0.5000 0.5000 0.5000  6 Cr 2.39

---

The highest DOS(E_F) belongs to which entry?
YCr2Fe